No. 1
A PBEsol-optimized structure of CoRePt2. Source: the Alexandria database, functional meta-GGA SCAN.

Lattice parameters (Å, degrees): 4.6372 4.6372 2.6610 90.00 90.00 90.00
Space group P4/mmm (No. 123)
Asymmetric unit:
1 Co 0.0000 0.0000 0.0000 (multiplicity 1)
2 Re 0.5000 0.5000 0.0000 (multiplicity 1)
3 Pt 0.0000 0.5000 0.5000 (multiplicity 2)

Results
ΔE to the lowest computed polymorph, meV per atom: 217



No. 2
A PBEsol-optimized structure of CoRePt. Source: the Alexandria database, functional meta-GGA SCAN.

Lattice parameters (Å, degrees): 5.6171 5.6171 5.6171 90.00 90.00 90.00
Space group F-43m (No. 216)
Asymmetric unit:
1 Co 0.0000 0.0000 0.0000 (multiplicity 4)
2 Re 0.2500 0.2500 0.7500 (multiplicity 4)
3 Pt 0.2500 0.2500 0.2500 (multiplicity 4)

Results
ΔE to the lowest computed polymorph, meV per atom: 469



No. 3
A PBEsol-optimized structure of CoRe2Pt. Source: the Alexandria database, functional meta-GGA SCAN.

Lattice parameters (Å, degrees): 6.0509 6.0509 6.0509 90.00 90.00 90.00
Space group F-43m (No. 216)
Asymmetric unit:
1 Co 0.0000 0.0000 0.0000 (multiplicity 4)
2 Re 0.0000 0.0000 0.5000 (multiplicity 4)
3 Re 0.2500 0.2500 0.2500 (multiplicity 4)
4 Pt 0.2500 0.2500 0.7500 (multiplicity 4)

Results
ΔE to the lowest computed polymorph, meV per atom: 183



No. 4
A PBEsol-optimized structure of CoRePt2. Source: the Alexandria database, functional meta-GGA SCAN.

Lattice parameters (Å, degrees): 6.0656 6.0656 6.0656 90.00 90.00 90.00
Space group F-43m (No. 216)
Asymmetric unit:
1 Co 0.0000 0.0000 0.0000 (multiplicity 4)
2 Re 0.2500 0.2500 0.7500 (multiplicity 4)
3 Pt 0.0000 0.0000 0.5000 (multiplicity 4)
4 Pt 0.2500 0.2500 0.2500 (multiplicity 4)

Results
ΔE to the lowest computed polymorph, meV per atom: 217



No. 5
A PBEsol-optimized structure of CoRePt2. Source: the Alexandria database, functional meta-GGA SCAN.

Lattice parameters (Å, degrees): 3.7746 3.7746 7.6273 90.00 90.00 90.00
Space group I-4m2 (No. 119)
Asymmetric unit:
1 Co 0.0000 0.0000 0.0000 (multiplicity 2)
2 Re 0.0000 0.5000 0.7500 (multiplicity 2)
3 Pt 0.0000 0.0000 0.5000 (multiplicity 2)
4 Pt 0.0000 0.5000 0.2500 (multiplicity 2)

Results
ΔE to the lowest computed polymorph, meV per atom: 44



No. 6
A PBEsol-optimized structure of CoPt2Rh. Source: the Alexandria database, functional meta-GGA SCAN.

Lattice parameters (Å, degrees): 2.6895 3.7515 5.3908 90.00 90.00 90.00
Space group Pmm2 (No. 25)
Asymmetric unit:
1 Co 0.0000 0.0000 0.0000 (multiplicity 1)
2 Pt 0.0000 0.0000 0.5121 (multiplicity 1)
3 Pt 0.5000 0.5000 0.2424 (multiplicity 1)
4 Rh 0.5000 0.5000 0.7642 (multiplicity 1)

Results
Raw total energy, eV/atom: -47.91



No. 7
A PBEsol-optimized structure of Co2PtRh. Source: the Alexandria database, functional meta-GGA SCAN.

Lattice parameters (Å, degrees): 3.6772 3.6772 7.3984 90.00 90.00 90.00
Space group I-4m2 (No. 119)
Asymmetric unit:
1 Co 0.0000 0.0000 0.0000 (multiplicity 2)
2 Co 0.0000 0.5000 0.2500 (multiplicity 2)
3 Pt 0.0000 0.0000 0.5000 (multiplicity 2)
4 Rh 0.0000 0.5000 0.7500 (multiplicity 2)

Results
Raw total energy, eV/atom: -34.72



No. 8
A PBEsol-optimized structure of Co2PtRh. Source: the Alexandria database, functional meta-GGA SCAN.

Lattice parameters (Å, degrees): 2.6421 2.6421 7.1382 90.00 90.00 90.00
Space group P4mm (No. 99)
Asymmetric unit:
1 Co 0.0000 0.0000 0.0000 (multiplicity 1)
2 Co 0.5000 0.5000 0.2176 (multiplicity 1)
3 Pt 0.0000 0.0000 0.4733 (multiplicity 1)
4 Rh 0.5000 0.5000 0.7566 (multiplicity 1)

Results
Raw total energy, eV/atom: -34.67



No. 9
A PBEsol-optimized structure of CoPt2Rh. Source: the Alexandria database, functional meta-GGA SCAN.

Lattice parameters (Å, degrees): 3.7881 3.7881 7.5700 90.00 90.00 90.00
Space group I4/mmm (No. 139)
Asymmetric unit:
1 Co 0.0000 0.0000 0.0000 (multiplicity 2)
2 Pt 0.0000 0.5000 0.2500 (multiplicity 4)
3 Rh 0.0000 0.0000 0.5000 (multiplicity 2)

Results
Raw total energy, eV/atom: -47.96



No. 10
A PBEsol-optimized structure of CoPtRh. Source: the Alexandria database, functional meta-GGA SCAN.

Lattice parameters (Å, degrees): 2.6686 2.6686 11.0376 90.00 90.00 90.00
Space group I4mm (No. 107)
Asymmetric unit:
1 Co 0.0000 0.0000 0.0000 (multiplicity 2)
2 Pt 0.0000 0.0000 0.6638 (multiplicity 2)
3 Rh 0.0000 0.0000 0.3465 (multiplicity 2)

Results
ΔE to the lowest computed polymorph, meV per atom: 0



No. 11
A PBEsol-optimized structure of Co2PtRh. Source: the Alexandria database, functional meta-GGA SCAN.

Lattice parameters (Å, degrees): 8.6733 2.6356 4.4694 90.00 101.74 90.00
Space group Cm (No. 8)
Asymmetric unit:
1 Co 0.0000 0.0000 0.0000 (multiplicity 2)
2 Co 0.2376 0.5000 0.2508 (multiplicity 2)
3 Pt 0.2474 0.0000 0.7638 (multiplicity 2)
4 Rh 0.4880 0.0000 0.4765 (multiplicity 2)

Results
Raw total energy, eV/atom: -34.69



No. 12
A PBEsol-optimized structure of Co2PtRh. Source: the Alexandria database, functional meta-GGA SCAN.

Lattice parameters (Å, degrees): 2.6314 3.6048 5.2709 90.00 90.00 90.00
Space group Pmmm (No. 47)
Asymmetric unit:
1 Co 0.0000 0.0000 0.2407 (multiplicity 2)
2 Pt 0.5000 0.5000 0.5000 (multiplicity 1)
3 Rh 0.5000 0.5000 0.0000 (multiplicity 1)

Results
Raw total energy, eV/atom: -34.73



no.,DOS at the Fermi energy (states/eV per cell)
1,3.48
2,9.89
3,11.22
4,4.85
5,4.17
6,4.82
7,6.00
8,3.50
9,9.45
10,4.53
11,6.90
12,2.88